Entry 1:
LiSiSe2Br: optimized geometry, GGA-PBE.

Summary:
Space group = P4/mmm, No. 123
Total magnetization = 0.000 μB per atom
Energy relative to the elements, uncorrected = -0.227 eV per atom
Crystal system = tetragonal

a b c (Å): 4.803 4.803 5.549
angles (deg): 90.00 90.00 90.00
Element x y z (fractional)
Si 0.000 0.000 0.000
Se 0.000 0.500 0.000
Se 0.500 0.000 0.000
Br 0.000 0.000 0.500
Li 0.500 0.500 0.500

***

Entry 2:
PuThMgIn: optimized geometry, GGA-PBE.

Summary:
Space group = F-43m, No. 216
Energy of formation from the pure elements = 14 meV per atom
Total magnetization = 1.576 μB per atom
Crystal system = cubic

a b c (Å): 5.402 5.402 5.402
angles (deg): 60.00 60.00 60.00
Each line ends with the local moment (μB).
Element x y z (fractional)
Mg 0.500 0.500 0.500  0.01
In 0.000 0.000 0.000  -0.04
Th 0.750 0.750 0.750  0.21
Pu 0.250 0.250 0.250  5.48

***

Among the records above, which one has the lowest total magnetization?
LiSiSe2Br